1.
# BaHoTl (PBE, optimized geometry)
data_BaHoTl
_chemical_formula_sum 'Ba4 Ho4 Tl4'
_cell_length_a 7.772
_cell_length_b 7.772
_cell_length_c 7.772
_cell_angle_alpha 90.00
_cell_angle_beta 90.00
_cell_angle_gamma 90.00
_space_group_name_H-M_alt 'F -4 3 m'
_space_group_IT_number 216
_space_group_name_Hall 'F -4 2 3'
loop_
_atom_site_label
_atom_site_fract_x
_atom_site_fract_y
_atom_site_fract_z
Ba1 0.000 0.000 0.000
Ho1 0.250 0.250 0.750
Tl1 0.250 0.250 0.250
# Relative energy among the computed polymorphs = 453.3 meV/atom

2.
# BaMo3I (PBE, optimized geometry)
data_BaMo3I
_chemical_formula_sum 'Ba1 Mo3 I1'
_cell_length_a 5.077
_cell_length_b 5.077
_cell_length_c 5.077
_cell_angle_alpha 90.00
_cell_angle_beta 90.00
_cell_angle_gamma 90.00
_space_group_name_H-M_alt 'P m -3 m'
_space_group_IT_number 221
_space_group_name_Hall '-P 4 2 3'
loop_
_atom_site_label
_atom_site_fract_x
_atom_site_fract_y
_atom_site_fract_z
Ba1 0.000 0.000 0.000
Mo1 0.000 0.500 0.500
I1 0.500 0.500 0.500
# Raw total energy = -27.12 eV/cell

3.
# BaNdPI (PBE, optimized geometry)
data_BaNdPI
_chemical_formula_sum 'Ba3 Nd3 P3 I3'
_cell_length_a 4.3995
_cell_length_b 4.3995
_cell_length_c 24.4762
_cell_angle_alpha 90.00
_cell_angle_beta 90.00
_cell_angle_gamma 120.00
_space_group_name_H-M_alt 'R 3 m'
_space_group_IT_number 160
_space_group_name_Hall 'R 3 -2"'
loop_
_atom_site_label
_atom_site_fract_x
_atom_site_fract_y
_atom_site_fract_z
Ba1 0.0000 0.0000 0.0000
Nd1 0.0000 0.0000 0.5348
P1 0.0000 0.0000 0.2567
I1 0.0000 0.0000 0.7762
# Raw total energy = -57.22 eV/cell

4.
# BaPrPI (PBE, optimized geometry)
data_BaPrPI
_chemical_formula_sum 'Ba3 Pr3 P3 I3'
_cell_length_a 4.4216
_cell_length_b 4.4216
_cell_length_c 24.5582
_cell_angle_alpha 90.00
_cell_angle_beta 90.00
_cell_angle_gamma 120.00
_space_group_name_H-M_alt 'R 3 m'
_space_group_IT_number 160
_space_group_name_Hall 'R 3 -2"'
loop_
_atom_site_label
_atom_site_fract_x
_atom_site_fract_y
_atom_site_fract_z
Ba1 0.0000 0.0000 0.0000
Pr1 0.0000 0.0000 0.4655
P1 0.0000 0.0000 0.7428
I1 0.0000 0.0000 0.2250
# Raw total energy = -57.29 eV/cell

5.
# BaUI6 (PBE, optimized geometry)
data_BaUI6
_chemical_formula_sum 'Ba4 U4 I24'
_cell_length_a 8.452
_cell_length_b 14.587
_cell_length_c 15.433
_cell_angle_alpha 90.00
_cell_angle_beta 101.95
_cell_angle_gamma 90.00
_space_group_name_H-M_alt 'C 1 c 1'
_space_group_IT_number 9
_space_group_name_Hall 'C -2yc'
loop_
_atom_site_label
_atom_site_fract_x
_atom_site_fract_y
_atom_site_fract_z
Ba1 0.000 0.081 0.000
U1 0.002 0.414 0.004
I1 0.098 0.269 0.883
I2 0.101 0.440 0.387
I3 0.164 0.091 0.389
I4 0.340 0.415 0.120
I5 0.394 0.058 0.120
I6 0.413 0.233 0.625
# Raw total energy = -127.68 eV/cell

6.
# BaIn9Ir2 (PBE, optimized geometry)
data_BaIn9Ir2
_chemical_formula_sum 'Ba1 In9 Ir2'
_cell_length_a 8.9747
_cell_length_b 8.9747
_cell_length_c 4.3177
_cell_angle_alpha 90.00
_cell_angle_beta 90.00
_cell_angle_gamma 120.00
_space_group_name_H-M_alt 'P 6/m m m'
_space_group_IT_number 191
_space_group_name_Hall '-P 6 2'
loop_
_atom_site_label
_atom_site_fract_x
_atom_site_fract_y
_atom_site_fract_z
Ba1 0.0000 0.0000 0.0000
In1 0.0000 0.5000 0.0000
In2 0.2067 0.4134 0.5000
Ir1 0.3333 0.6667 0.0000
# Raw total energy = -47.38 eV/cell

7.
# BaIn3Ir (PBE, optimized geometry)
data_BaIn3Ir
_chemical_formula_sum 'Ba4 In12 Ir4'
_cell_length_a 7.065
_cell_length_b 10.453
_cell_length_c 7.638
_cell_angle_alpha 90.00
_cell_angle_beta 90.00
_cell_angle_gamma 90.00
_space_group_name_H-M_alt 'I m m a'
_space_group_IT_number 74
_space_group_name_Hall '-I 2b 2'
loop_
_atom_site_label
_atom_site_fract_x
_atom_site_fract_y
_atom_site_fract_z
Ba1 0.000 0.250 0.066
In1 0.000 0.250 0.553
In2 0.250 0.033 0.750
Ir1 0.000 0.000 0.500
# Raw total energy = -82.38 eV/cell

8.
# BaIn2Ir (PBE, optimized geometry)
data_BaIn2Ir
_chemical_formula_sum 'Ba4 In8 Ir4'
_cell_length_a 7.401
_cell_length_b 7.401
_cell_length_c 7.401
_cell_angle_alpha 90.00
_cell_angle_beta 90.00
_cell_angle_gamma 90.00
_space_group_name_H-M_alt 'F -4 3 m'
_space_group_IT_number 216
_space_group_name_Hall 'F -4 2 3'
loop_
_atom_site_label
_atom_site_fract_x
_atom_site_fract_y
_atom_site_fract_z
Ba1 0.000 0.000 0.000
In1 0.000 0.000 0.500
In2 0.250 0.250 0.750
Ir1 0.250 0.250 0.250
# Raw total energy = -62.20 eV/cell

9.
# Ba2InIr (PBE, optimized geometry)
data_Ba2InIr
_chemical_formula_sum 'Ba8 In4 Ir4'
_cell_length_a 7.676
_cell_length_b 7.676
_cell_length_c 7.676
_cell_angle_alpha 90.00
_cell_angle_beta 90.00
_cell_angle_gamma 90.00
_space_group_name_H-M_alt 'F -4 3 m'
_space_group_IT_number 216
_space_group_name_Hall 'F -4 2 3'
loop_
_atom_site_label
_atom_site_fract_x
_atom_site_fract_y
_atom_site_fract_z
Ba1 0.000 0.000 0.000
Ba2 0.250 0.250 0.250
In1 0.000 0.000 0.500
Ir1 0.250 0.250 0.750
# Raw total energy = -59.72 eV/cell

10.
# Ba2In4NiIr (PBE, optimized geometry)
data_Ba2In4NiIr
_chemical_formula_sum 'Ba4 In8 Ni2 Ir2'
_cell_length_a 8.051
_cell_length_b 4.509
_cell_length_c 11.755
_cell_angle_alpha 90.00
_cell_angle_beta 90.00
_cell_angle_gamma 90.00
_space_group_name_H-M_alt 'A m m 2'
_space_group_IT_number 38
_space_group_name_Hall 'A 2 -2'
loop_
_atom_site_label
_atom_site_fract_x
_atom_site_fract_y
_atom_site_fract_z
Ba1 0.000 0.000 0.000
Ba2 0.500 0.000 0.101
In1 0.190 0.000 0.715
In2 0.302 0.000 0.381
Ni1 0.000 0.000 0.270
Ir1 0.500 0.000 0.828
# Raw total energy = -63.88 eV/cell

11.
# Ba2InIrO6 (PBE, optimized geometry)
data_Ba2InIrO6
_chemical_formula_sum 'Ba6 In3 Ir3 O18'
_cell_length_a 5.8769
_cell_length_b 5.8769
_cell_length_c 14.6082
_cell_angle_alpha 90.00
_cell_angle_beta 90.00
_cell_angle_gamma 120.00
_space_group_name_H-M_alt 'P -3 m 1'
_space_group_IT_number 164
_space_group_name_Hall '-P 3 2"'
loop_
_atom_site_label
_atom_site_fract_x
_atom_site_fract_y
_atom_site_fract_z
Ba1 0.0000 0.0000 0.2469
Ba2 0.3333 0.6667 0.0935
Ba3 0.3333 0.6667 0.4039
In1 0.0000 0.0000 0.0000
In2 0.3333 0.6667 0.6524
Ir1 0.0000 0.0000 0.5000
Ir2 0.3333 0.6667 0.8424
O1 0.0209 0.5104 0.7571
O2 0.1570 0.3140 0.5785
O3 0.1705 0.3409 0.9154
# Raw total energy = -188.35 eV/cell

12.
# BaIn2IrPd (PBE, optimized geometry)
data_BaIn2IrPd
_chemical_formula_sum 'Ba2 In4 Ir2 Pd2'
_cell_length_a 4.806
_cell_length_b 4.806
_cell_length_c 10.735
_cell_angle_alpha 90.00
_cell_angle_beta 90.00
_cell_angle_gamma 90.00
_space_group_name_H-M_alt 'P 4/n m m'
_space_group_IT_number 129
loop_
_space_group_symop_operation_xyz
'x,y,z'
'-x,-y,-z'
'-y+1/2,x,z'
'y+1/2,-x,-z'
'-x+1/2,-y+1/2,z'
'x+1/2,y+1/2,-z'
'y,-x+1/2,z'
'-y,x+1/2,-z'
'x+1/2,-y,-z'
'-x+1/2,y,z'
'-y,-x,-z'
'y,x,z'
'-x,y+1/2,-z'
'x,-y+1/2,z'
'y+1/2,x+1/2,-z'
'-y+1/2,-x+1/2,z'
loop_
_atom_site_label
_atom_site_fract_x
_atom_site_fract_y
_atom_site_fract_z
Ba1 0.250 0.250 0.242
In1 0.250 0.250 0.877
In2 0.250 0.750 0.500
Ir1 0.250 0.250 0.626
Pd1 0.250 0.750 0.000
# Raw total energy = -47.02 eV/cell

13.
# Ba2In4IrPd (PBE, optimized geometry)
data_Ba2In4IrPd
_chemical_formula_sum 'Ba4 In8 Ir2 Pd2'
_cell_length_a 8.161
_cell_length_b 4.547
_cell_length_c 11.674
_cell_angle_alpha 90.00
_cell_angle_beta 90.00
_cell_angle_gamma 90.00
_space_group_name_H-M_alt 'A m m 2'
_space_group_IT_number 38
_space_group_name_Hall 'A 2 -2'
loop_
_atom_site_label
_atom_site_fract_x
_atom_site_fract_y
_atom_site_fract_z
Ba1 0.000 0.000 0.000
Ba2 0.500 0.000 0.108
In1 0.198 0.000 0.716
In2 0.309 0.000 0.390
Ir1 0.500 0.000 0.834
Pd1 0.000 0.000 0.275
# Raw total energy = -65.19 eV/cell

In order of appearance, calculated density = 7.17; 7.00; 5.34; 5.22; 4.06; 8.57; 7.94; 9.16; 8.54; 7.66; 7.73; 8.92; 7.92 g/cm3.